Record 1
Computed, not measured: crystalline Ca2LaPaN4 at its relaxed geometry at the PBE-GGA level of DFT.

Calculated values
- uncorrected energy (eV/atom) = -7.85
- crystal system = monoclinic

Geometry as CIF:
```
data_Ca2LaPaN4
_symmetry_space_group_name_H-M 'P 1 2/m 1'
_symmetry_Int_Tables_number 10
_cell_length_a 6.127
_cell_length_b 3.629
_cell_length_c 6.316
_cell_angle_alpha 90.00
_cell_angle_beta 110.21
_cell_angle_gamma 90.00
loop_
_symmetry_equiv_pos_as_xyz
'x,y,z'
'-x,-y,-z'
'-x,y,-z'
'x,-y,z'
loop_
_atom_site_label
_atom_site_type_symbol
_atom_site_fract_x
_atom_site_fract_y
_atom_site_fract_z
Ca1 Ca 0.000 0.000 0.000
Ca2 Ca 0.000 0.500 0.500
La1 La 0.500 0.000 0.500
Pa1 Pa 0.500 0.500 0.000
N1 N 0.276 0.000 0.775
N2 N 0.283 0.500 0.225
```

Record 2
Computed, not measured: crystalline ZnCuP at its relaxed geometry at the PBE-GGA level of DFT.

Calculated values
- calculated formation energy (eV per atom) = 0.011
- uncorrected energy (eV/atom) = -3.58
- crystal system = tetragonal

Geometry as CIF:
```
data_ZnCuP
_symmetry_space_group_name_H-M 'I 41 m d'
_symmetry_Int_Tables_number 109
_symmetry_space_group_name_Hall 'I 4bw -2'
_cell_length_a 4.161
_cell_length_b 4.161
_cell_length_c 14.149
_cell_angle_alpha 90.00
_cell_angle_beta 90.00
_cell_angle_gamma 90.00
loop_
_atom_site_label
_atom_site_type_symbol
_atom_site_fract_x
_atom_site_fract_y
_atom_site_fract_z
Zn1 Zn 0.000 0.000 0.000
Cu1 Cu 0.000 0.000 0.363
P1 P 0.000 0.000 0.175
```

Record 3
Computed, not measured: crystalline NdRh2O6 at its relaxed geometry at the PBE-GGA level of DFT.

Calculated values
- uncorrected energy (eV/atom) = -6.88
- crystal system = trigonal

Geometry as CIF:
```
data_NdRh2O6
_symmetry_space_group_name_H-M 'P -3 1 m'
_symmetry_Int_Tables_number 162
_symmetry_space_group_name_Hall '-P 3 2'
_cell_length_a 5.2509
_cell_length_b 5.2509
_cell_length_c 5.0489
_cell_angle_alpha 90.00
_cell_angle_beta 90.00
_cell_angle_gamma 120.00
loop_
_atom_site_label
_atom_site_type_symbol
_atom_site_fract_x
_atom_site_fract_y
_atom_site_fract_z
Nd1 Nd 0.0000 0.0000 0.0000
Rh1 Rh 0.3333 0.6667 0.5000
O1 O 0.0000 0.3663 0.7155
```

Record 4
Computed, not measured: crystalline ZrIn3 at its relaxed geometry at the PBE-GGA level of DFT.

Calculated values
- calculated formation energy (eV per atom) = -0.113
- uncorrected energy (eV/atom) = -4.30
- crystal system = orthorhombic

Geometry as CIF:
```
data_ZrIn3
_symmetry_space_group_name_H-M 'P m m 2'
_symmetry_Int_Tables_number 25
_cell_length_a 3.137
_cell_length_b 5.419
_cell_length_c 5.571
_cell_angle_alpha 90.00
_cell_angle_beta 90.00
_cell_angle_gamma 90.00
loop_
_symmetry_equiv_pos_as_xyz
'x,y,z'
'-x,-y,z'
'-x,y,z'
'x,-y,z'
loop_
_atom_site_label
_atom_site_type_symbol
_atom_site_fract_x
_atom_site_fract_y
_atom_site_fract_z
Zr1 Zr 0.000 0.000 0.000
In1 In 0.000 0.500 0.672
In2 In 0.500 0.000 0.503
In3 In 0.500 0.500 0.158
```

Record 5
Computed, not measured: crystalline Ac2BeGe4Pt3 at its relaxed geometry at the PBE-GGA level of DFT.

Calculated values
- calculated formation energy (eV per atom) = -0.806
- uncorrected energy (eV/atom) = -5.66
- crystal system = tetragonal

Geometry as CIF:
```
data_Ac2BeGe4Pt3
_symmetry_space_group_name_H-M 'P -4 m 2'
_symmetry_Int_Tables_number 115
_cell_length_a 4.437
_cell_length_b 4.437
_cell_length_c 10.259
_cell_angle_alpha 90.00
_cell_angle_beta 90.00
_cell_angle_gamma 90.00
loop_
_symmetry_equiv_pos_as_xyz
'x,y,z'
'y,-x,-z'
'-x,-y,z'
'-y,x,-z'
'-x,y,z'
'-y,-x,-z'
'x,-y,z'
'y,x,-z'
loop_
_atom_site_label
_atom_site_type_symbol
_atom_site_fract_x
_atom_site_fract_y
_atom_site_fract_z
Ac1 Ac 0.000 0.500 0.246
Be1 Be 0.500 0.500 0.000
Ge1 Ge 0.000 0.000 0.500
Ge2 Ge 0.000 0.500 0.876
Ge3 Ge 0.500 0.500 0.500
Pt1 Pt 0.000 0.000 0.000
Pt2 Pt 0.000 0.500 0.625
```

Record 6
Computed, not measured: crystalline CsSrCd10 at its relaxed geometry at the PBE-GGA level of DFT.

Calculated values
- calculated formation energy (eV per atom) = -0.117
- uncorrected energy (eV/atom) = -1.09
- crystal system = orthorhombic

Geometry as CIF:
```
data_CsSrCd10
_symmetry_space_group_name_H-M 'P m m m'
_symmetry_Int_Tables_number 47
_cell_length_a 4.701
_cell_length_b 6.525
_cell_length_c 11.136
_cell_angle_alpha 90.00
_cell_angle_beta 90.00
_cell_angle_gamma 90.00
loop_
_symmetry_equiv_pos_as_xyz
'x,y,z'
'-x,-y,-z'
'-x,-y,z'
'x,y,-z'
'x,-y,-z'
'-x,y,z'
'-x,y,-z'
'x,-y,z'
loop_
_atom_site_label
_atom_site_type_symbol
_atom_site_fract_x
_atom_site_fract_y
_atom_site_fract_z
Cs1 Cs 0.000 0.000 0.000
Sr1 Sr 0.000 0.500 0.500
Cd1 Cd 0.000 0.000 0.336
Cd2 Cd 0.000 0.500 0.172
Cd3 Cd 0.500 0.000 0.500
Cd4 Cd 0.500 0.273 0.279
Cd5 Cd 0.500 0.500 0.000
```

Record 7
Computed, not measured: crystalline TbEuCu at its relaxed geometry at the PBE-GGA level of DFT.

Calculated values
- calculated formation energy (eV per atom) = -0.080
- uncorrected energy (eV/atom) = -6.41
- crystal system = tetragonal

Geometry as CIF:
```
data_TbEuCu
_symmetry_space_group_name_H-M 'I 4 m m'
_symmetry_Int_Tables_number 107
_symmetry_space_group_name_Hall 'I 4 -2'
_cell_length_a 3.594
_cell_length_b 3.594
_cell_length_c 12.754
_cell_angle_alpha 90.00
_cell_angle_beta 90.00
_cell_angle_gamma 90.00
loop_
_atom_site_label
_atom_site_type_symbol
_atom_site_fract_x
_atom_site_fract_y
_atom_site_fract_z
Tb1 Tb 0.000 0.000 0.000
Eu1 Eu 0.000 0.000 0.731
Cu1 Cu 0.000 0.000 0.386
```

Record 8
Computed, not measured: crystalline Na2TiCl6 at its relaxed geometry at the PBE-GGA level of DFT.

Calculated values
- uncorrected energy (eV/atom) = -4.05
- distance to the lowest polymorph of the same formula (meV/atom) = 16.2
- crystal system = tetragonal

Geometry as CIF:
```
data_Na2TiCl6
_symmetry_space_group_name_H-M 'P 42/m n m'
_symmetry_Int_Tables_number 136
_symmetry_space_group_name_Hall '-P 4n 2n'
_cell_length_a 6.320
_cell_length_b 6.320
_cell_length_c 11.906
_cell_angle_alpha 90.00
_cell_angle_beta 90.00
_cell_angle_gamma 90.00
loop_
_atom_site_label
_atom_site_type_symbol
_atom_site_fract_x
_atom_site_fract_y
_atom_site_fract_z
Na1 Na 0.000 0.000 0.166
Ti1 Ti 0.000 0.000 0.500
Cl1 Cl 0.184 0.184 0.358
Cl2 Cl 0.235 0.235 0.000
```

Record 9
Computed, not measured: crystalline Sb at its relaxed geometry at the PBE-GGA level of DFT.

Calculated values
- uncorrected energy (eV/atom) = -4.01
- distance to the lowest polymorph of the same formula (meV/atom) = 116.6
- crystal system = tetragonal

Geometry as CIF:
```
data_Sb
_symmetry_space_group_name_H-M 'I 4/m'
_symmetry_Int_Tables_number 87
_symmetry_space_group_name_Hall '-I 4'
_cell_length_a 11.293
_cell_length_b 11.293
_cell_length_c 4.201
_cell_angle_alpha 90.00
_cell_angle_beta 90.00
_cell_angle_gamma 90.00
loop_
_atom_site_label
_atom_site_type_symbol
_atom_site_fract_x
_atom_site_fract_y
_atom_site_fract_z
Sb1 Sb 0.092 0.316 0.000
Sb2 Sb 0.144 0.855 0.500
```

Record 10
Computed, not measured: crystalline MgCd2HRh at its relaxed geometry at the PBE-GGA level of DFT.

Calculated values
- uncorrected energy (eV/atom) = -1.70
- distance to the lowest polymorph of the same formula (meV/atom) = 1191.5
- crystal system = tetragonal

Geometry as CIF:
```
data_MgCd2HRh
_symmetry_space_group_name_H-M 'P 4/m m m'
_symmetry_Int_Tables_number 123
_symmetry_space_group_name_Hall '-P 4 2'
_cell_length_a 5.345
_cell_length_b 5.345
_cell_length_c 4.631
_cell_angle_alpha 90.00
_cell_angle_beta 90.00
_cell_angle_gamma 90.00
loop_
_atom_site_label
_atom_site_type_symbol
_atom_site_fract_x
_atom_site_fract_y
_atom_site_fract_z
Mg1 Mg 0.000 0.000 0.000
Cd1 Cd 0.000 0.500 0.000
H1 H 0.500 0.500 0.500
Rh1 Rh 0.000 0.000 0.500
```

Record 11
Computed, not measured: crystalline AcPr5Sm5 at its relaxed geometry at the PBE-GGA level of DFT.

Calculated values
- calculated formation energy (eV per atom) = 0.257
- uncorrected energy (eV/atom) = -4.43
- distance to the lowest polymorph of the same formula (meV/atom) = 4.0
- crystal system = monoclinic

Geometry as CIF:
```
data_AcPr5Sm5
_symmetry_space_group_name_H-M 'C 1 2/m 1'
_symmetry_Int_Tables_number 12
_cell_length_a 19.345
_cell_length_b 6.274
_cell_length_c 7.145
_cell_angle_alpha 90.00
_cell_angle_beta 111.46
_cell_angle_gamma 90.00
loop_
_symmetry_equiv_pos_as_xyz
'x,y,z'
'-x,-y,-z'
'-x,y,-z'
'x,-y,z'
'x+1/2,y+1/2,z'
'-x+1/2,-y+1/2,-z'
'-x+1/2,y+1/2,-z'
'x+1/2,-y+1/2,z'
loop_
_atom_site_label
_atom_site_type_symbol
_atom_site_fract_x
_atom_site_fract_y
_atom_site_fract_z
Ac1 Ac 0.000 0.000 0.000
Pr1 Pr 0.000 0.500 0.000
Pr2 Pr 0.177 0.000 0.421
Pr3 Pr 0.177 0.000 0.932
Sm1 Sm 0.000 0.000 0.500
Sm2 Sm 0.124 0.500 0.626
Sm3 Sm 0.170 0.500 0.172
```

Record 12
Computed, not measured: crystalline RbNa2Ca at its relaxed geometry at the PBE-GGA level of DFT.

Calculated values
- calculated formation energy (eV per atom) = 0.117
- uncorrected energy (eV/atom) = -1.28
- distance to the lowest polymorph of the same formula (meV/atom) = 32.9
- crystal system = trigonal

Geometry as CIF:
```
data_RbNa2Ca
_symmetry_space_group_name_H-M 'R 3 m'
_symmetry_Int_Tables_number 160
_symmetry_space_group_name_Hall 'R 3 -2"'
_cell_length_a 4.1408
_cell_length_b 4.1408
_cell_length_c 39.6370
_cell_angle_alpha 90.00
_cell_angle_beta 90.00
_cell_angle_gamma 120.00
loop_
_atom_site_label
_atom_site_type_symbol
_atom_site_fract_x
_atom_site_fract_y
_atom_site_fract_z
Rb1 Rb 0.0000 0.0000 0.0000
Na1 Na 0.0000 0.0000 0.5753
Na2 Na 0.0000 0.0000 0.7582
Ca1 Ca 0.0000 0.0000 0.1668
```